This record from the Alexandria database describes a relaxed structure of LaMo2Os. The functional is PBE-GGA.

## Properties
M_tot in Bohr magnetons per cell: 0.00
E_tot in eV per atom: -9.10

Cell lengths 3.1806, 3.1806, 7.6256 Å; angles 90.00, 90.00, 90.00 degrees
Atoms (fractional coordinates):
La: 0.5000 0.5000 0.7463
Mo: 0.0000 0.0000 0.0583
Mo: 0.5000 0.5000 0.2528
Os: 0.0000 0.0000 0.4426

This record from the Alexandria database describes a relaxed structure of ZrTaNi2. The functional is PBE-GGA.

## Properties
M_tot in Bohr magnetons per cell: 0.00
E_tot in eV per atom: -8.28

Cell lengths 4.0338, 3.1844, 5.1230 Å; angles 72.85, 90.00, 90.00 degrees
Atoms (fractional coordinates):
Ni: 0.0000 0.1996 0.9718
Ni: 0.5000 0.0456 0.2910
Zr: 0.5000 0.7662 0.8339
Ta: 0.0000 0.4886 0.4032

This record from the Alexandria database describes a relaxed structure of Np2P4Pd. The functional is PBE-GGA.

## Properties
M_tot in Bohr magnetons per cell: 5.59
E_tot in eV per atom: -8.15

Cell lengths 3.6858, 3.6858, 9.5219 Å; angles 90.00, 90.00, 90.00 degrees
Site moments in Bohr magnetons follow the coordinates.
Atoms (fractional coordinates):
Np: 0.5000 0.0000 0.7318  3.00
Np: 0.0000 0.5000 0.2682  3.00
P: 0.5000 0.0000 0.1683  -0.13
P: 0.0000 0.5000 0.8317  -0.13
P: 0.5000 0.5000 0.5000  -0.06
P: 0.0000 0.0000 0.5000  -0.05
Pd: 0.5000 0.5000 0.0000  -0.14

This record from the Alexandria database describes a relaxed structure of CsZr3Pb. The functional is PBE-GGA.

## Properties
M_tot in Bohr magnetons per cell: 1.29
E_tot in eV per atom: -4.24

Cell lengths 5.2848, 5.2848, 5.2848 Å; angles 90.00, 90.00, 90.00 degrees
Site moments in Bohr magnetons follow the coordinates.
Atoms (fractional coordinates):
Pb: 0.5000 0.5000 0.5000  -0.02
Cs: 0.0000 0.0000 0.0000  0.03
Zr: 0.0000 0.5000 0.0000  0.28
Zr: 0.0000 0.0000 0.5000  0.26
Zr: 0.5000 0.0000 0.0000  0.29

This record from the Alexandria database describes a relaxed structure of CaLuZnAu. The functional is PBE-GGA.

## Properties
M_tot in Bohr magnetons per cell: 0.00
E_tot in eV per atom: -3.31

Cell lengths 5.0376, 5.0376, 5.0376 Å; angles 60.00, 60.00, 60.00 degrees
Atoms (fractional coordinates):
Zn: 0.0000 0.0000 0.0000
Lu: 0.7500 0.7500 0.7500
Au: 0.5000 0.5000 0.5000
Ca: 0.2500 0.2500 0.2500

This record from the Alexandria database describes a relaxed structure of Ca2OsW. The functional is PBE-GGA.

## Properties
M_tot in Bohr magnetons per cell: 0.00
E_tot in eV per atom: -6.75

Cell lengths 4.2205, 4.2205, 8.1591 Å; angles 75.44, 75.44, 59.96 degrees
Atoms (fractional coordinates):
Ca: 0.9634 0.9634 0.1031
Ca: 0.7882 0.7882 0.6425
Os: 0.5341 0.5341 0.3981
W: 0.2144 0.2144 0.3563

This record from the Alexandria database describes a relaxed structure of Ga2Pd3Pt4. The functional is PBE-GGA.

## Properties
M_tot in Bohr magnetons per cell: 0.00
E_tot in eV per atom: -5.39

Cell lengths 4.9555, 7.7574, 7.7574 Å; angles 82.64, 102.95, 102.95 degrees
Atoms (fractional coordinates):
Ga: 0.4322 0.1952 0.3646
Ga: 0.0678 0.6354 0.8048
Ga: 0.5678 0.8048 0.6354
Ga: 0.9322 0.3646 0.1952
Pd: 0.9831 0.0365 0.1732
Pd: 0.5169 0.8268 0.9635
Pd: 0.0169 0.9635 0.8268
Pd: 0.4831 0.1732 0.0365
Pd: 0.2500 0.5470 0.4530
Pd: 0.7500 0.4530 0.5470
Pt: 0.4908 0.8884 0.3062
Pt: 0.0092 0.6938 0.1116
Pt: 0.5092 0.1116 0.6938
Pt: 0.9908 0.3062 0.8884
Pt: 0.9786 0.1777 0.4983
Pt: 0.5214 0.5017 0.8223
Pt: 0.0214 0.8223 0.5017
Pt: 0.4786 0.4983 0.1777

This record from the Alexandria database describes a relaxed structure of LaGdMg4. The functional is PBE-GGA.

## Properties
M_tot in Bohr magnetons per cell: 7.58
E_tot in eV per atom: -4.34

Cell lengths 6.1334, 6.1334, 6.1334 Å; angles 60.00, 60.00, 60.00 degrees
Site moments in Bohr magnetons follow the coordinates.
Atoms (fractional coordinates):
Mg: 0.6251 0.6251 0.1247  0.00
Mg: 0.6251 0.1247 0.6251  0.00
Mg: 0.6251 0.6251 0.6251  0.00
Mg: 0.1247 0.6251 0.6251  0.00
Gd: 0.0000 0.0000 0.0000  7.18
La: 0.2500 0.2500 0.2500  0.02

This record from the Alexandria database describes a relaxed structure of CdCo2Se. The functional is PBE-GGA.

## Properties
M_tot in Bohr magnetons per cell: 1.61
E_tot in eV per atom: -4.51
Formation energy (no corrections) in eV per atom: 0.145

Cell lengths 3.0886, 3.0886, 7.0046 Å; angles 90.00, 90.00, 90.00 degrees
Site moments in Bohr magnetons follow the coordinates.
Atoms (fractional coordinates):
Cd: 0.5000 0.5000 0.8193  -0.03
Co: 0.0000 0.0000 0.0507  1.37
Co: 0.5000 0.5000 0.2423  0.39
Se: 0.0000 0.0000 0.3877  -0.04

This record from the Alexandria database describes a relaxed structure of MnNb6Fe. The functional is PBE-GGA.

## Properties
M_tot in Bohr magnetons per cell: 0.91
E_tot in eV per atom: -9.78

Cell lengths 4.5221, 4.5221, 7.1930 Å; angles 71.68, 71.68, 90.00 degrees
Site moments in Bohr magnetons follow the coordinates.
Atoms (fractional coordinates):
Mn: 0.5000 0.5000 0.0000  0.63
Nb: 0.7490 0.7490 0.5019  -0.04
Nb: 0.6172 0.1172 0.7656  -0.19
Nb: 0.1172 0.6172 0.7656  -0.19
Nb: 0.3828 0.8828 0.2344  -0.19
Nb: 0.2510 0.2510 0.4981  -0.04
Nb: 0.8828 0.3828 0.2344  -0.19
Fe: 0.0000 0.0000 0.0000  1.27

This record from the Alexandria database describes a relaxed structure of CdHg2Br. The functional is PBE-GGA.

## Properties
M_tot in Bohr magnetons per cell: 0.00
E_tot in eV per atom: -0.95
Formation energy (no corrections) in eV per atom: -0.148

Cell lengths 6.7023, 6.7023, 4.3031 Å; angles 72.67, 72.67, 127.27 degrees
Atoms (fractional coordinates):
Hg: 0.0000 0.0000 0.0000
Hg: 0.5000 0.5000 0.0000
Br: 0.5000 0.0000 0.5000
Cd: 0.0000 0.5000 0.5000

This record from the Alexandria database describes a relaxed structure of Sc2ClO2. The functional is PBE-GGA.

## Properties
M_tot in Bohr magnetons per cell: 0.00
E_tot in eV per atom: -7.72
Formation energy (no corrections) in eV per atom: -2.835

Cell lengths 3.5440, 4.2843, 6.1559 Å; angles 110.36, 106.73, 90.00 degrees
Atoms (fractional coordinates):
Sc: 0.6943 0.1943 0.3886
Sc: 0.3057 0.8057 0.6114
Cl: 0.0000 0.0000 0.0000
O: 0.2944 0.2944 0.5889
O: 0.7056 0.7056 0.4111

This record from the Alexandria database describes a relaxed structure of La4Pr2Mg. The functional is PBE-GGA.

## Properties
M_tot in Bohr magnetons per cell: 0.00
E_tot in eV per atom: -4.27

Cell lengths 6.9693, 9.2200, 9.2200 Å; angles 79.08, 67.79, 67.79 degrees
Atoms (fractional coordinates):
La: 0.1533 0.3604 0.3330
La: 0.1533 0.8330 0.8604
La: 0.2298 0.2415 0.7415
La: 0.7872 0.2415 0.7415
La: 0.2128 0.7585 0.2585
La: 0.8467 0.1670 0.1396
La: 0.7702 0.7585 0.2585
La: 0.8467 0.6396 0.6670
Pr: 0.2831 0.9669 0.4669
Pr: 0.5000 0.0000 0.0000
Pr: 0.5000 0.5000 0.5000
Pr: 0.7169 0.0331 0.5331
Mg: 0.0000 0.5000 0.0000
Mg: 0.5000 0.5000 0.0000